The following is a DFT calculation (GGA-PBE) of a geometry-optimized GdErCd6 structure.

Results
* final energy: -0.078 hartree per atom
* space group: P-6m2
* crystal system: hexagonal
* calculated formation energy: -0.29 eV/atom
* energy above the lowest structure with this stoichiometry: 0.0 meV/atom

a b c (Å): 6.5859 6.5859 4.9719
angles (deg): 90.00 90.00 120.00
Fractional positions:
Cd (0.5051, 0.0101, 0.0000)
Cd (0.9899, 0.4949, 0.0000)
Cd (0.5051, 0.4949, 0.0000)
Cd (0.8302, 0.6605, 0.5000)
Cd (0.8302, 0.1698, 0.5000)
Cd (0.3395, 0.1698, 0.5000)
Er (0.0000, 0.0000, 0.0000)
Gd (0.3333, 0.6667, 0.5000)